Density functional theory data (GGA-PBE) for Ta3CrC after structural relaxation.

Cell: 4.256 4.256 4.256 Å, 90.00 90.00 90.00°
Positions (direct):
Ta  0.000  0.000  0.500
Ta  0.000  0.500  0.000
C  0.000  0.000  0.000
Ta  0.500  0.000  0.000
Cr  0.500  0.500  0.500

Output
- magnetic moment (μB/f.u.) = 0.00
- calculated total energy (eV/atom) = -10.791
- energy above the most stable polymorph in this dataset (meV/atom) = 0

=====

Density functional theory data (GGA-PBE) for TbTaCrC3 after structural relaxation.

Cell: 3.331 6.897 7.378 Å, 101.92 90.00 90.00°
Positions (direct):
Ta  0.250  0.643  0.143
C  0.250  0.819  0.475
Tb  0.750  0.820  0.805
C  0.750  0.879  0.146
Ta  0.750  0.357  0.857
C  0.750  0.435  0.152
C  0.750  0.181  0.525
Tb  0.250  0.180  0.195
C  0.250  0.565  0.848
Cr  0.250  0.099  0.604
C  0.250  0.121  0.854
Cr  0.750  0.901  0.396

Output
- magnetic moment (μB/f.u.) = 0.00
- calculated total energy (eV/atom) = -9.086

=====

Density functional theory data (GGA-PBE) for ThTaCrC3 after structural relaxation.

Cell: 3.353 7.085 7.521 Å, 105.19 90.00 90.00°
Positions (direct):
C  0.750  0.443  0.155
C  0.750  0.879  0.142
C  0.250  0.557  0.845
Ta  0.250  0.649  0.142
C  0.750  0.181  0.529
C  0.250  0.121  0.858
Ta  0.750  0.351  0.858
C  0.250  0.819  0.471
Cr  0.250  0.098  0.606
Th  0.250  0.192  0.204
Cr  0.750  0.902  0.394
Th  0.750  0.808  0.796

Output
- magnetic moment (μB/f.u.) = 0.00
- calculated total energy (eV/atom) = -9.571

=====

Density functional theory data (GGA-PBE) for TmTaCrC3 after structural relaxation.

Cell: 3.304 6.786 7.306 Å, 100.55 90.00 90.00°
Positions (direct):
Tm  0.250  0.175  0.190
Ta  0.750  0.359  0.856
Tm  0.750  0.825  0.810
Cr  0.250  0.100  0.603
C  0.750  0.429  0.153
Cr  0.750  0.900  0.397
C  0.750  0.881  0.145
C  0.750  0.184  0.520
C  0.250  0.571  0.847
C  0.250  0.119  0.855
C  0.250  0.816  0.480
Ta  0.250  0.641  0.144

Output
- magnetic moment (μB/f.u.) = 0.00
- calculated total energy (eV/atom) = -9.078

=====

Density functional theory data (GGA-PBE) for TmTa2CrC4 after structural relaxation.

Cell: 3.177 5.749 10.993 Å, 90.00 90.00 106.04°
Positions (direct):
C  0.564  0.128  0.250
Ta  0.370  0.740  0.541
C  0.436  0.872  0.750
C  0.735  0.470  0.618
Tm  0.104  0.208  0.750
C  0.735  0.470  0.882
C  0.265  0.530  0.382
Ta  0.370  0.740  0.959
Ta  0.630  0.260  0.041
Tm  0.896  0.792  0.250
C  0.000  0.000  0.000
C  0.265  0.530  0.118
Ta  0.630  0.260  0.459
Cr  0.837  0.674  0.750
Cr  0.163  0.326  0.250
C  0.000  0.000  0.500

Output
- magnetic moment (μB/f.u.) = 0.00
- calculated total energy (eV/atom) = -9.711

=====

Density functional theory data (GGA-PBE) for UTa2CrC4 after structural relaxation.

Cell: 3.197 5.763 10.827 Å, 90.00 90.00 106.10°
Positions (direct):
U  0.105  0.209  0.750
Ta  0.371  0.742  0.956
U  0.895  0.791  0.250
C  0.733  0.466  0.619
C  0.267  0.534  0.119
Ta  0.371  0.742  0.544
Ta  0.629  0.258  0.044
Cr  0.159  0.317  0.250
C  0.267  0.534  0.381
Ta  0.629  0.258  0.456
C  0.000  0.000  0.000
Cr  0.841  0.683  0.750
C  0.000  0.000  0.500
C  0.442  0.883  0.750
C  0.733  0.466  0.881
C  0.558  0.117  0.250

Output
- magnetic moment (μB/f.u.) = 1.21
- calculated total energy (eV/atom) = -10.521

=====

Number 1: DFT formation energy 0.090 eV per atom, calculated volume 15.41 A^3/atom. Number 2: DFT formation energy -0.123 eV per atom, calculated volume 13.82 A^3/atom. Number 3: DFT formation energy -0.143 eV per atom, calculated volume 14.37 A^3/atom. Number 4: DFT formation energy -0.142 eV per atom, calculated volume 13.42 A^3/atom. Number 5: DFT formation energy -0.374 eV per atom, calculated volume 12.06 A^3/atom. Number 6: DFT formation energy -0.332 eV per atom, calculated volume 11.98 A^3/atom.